#w
Density functional theory data (PBE-GGA) for an optimized crystal structure of ZrTeHN2.

**Calculated volume**: 20.75 A^3/atom
**DOS(E_F)**: 4.31 states/eV/cell
**Total magnetization**: 1.7 μB/f.u.

Lattice parameters (Å, degrees): 4.1079 4.1079 6.1496 90.00 90.00 90.00
Space group P4/mmm (No. 123)
Asymmetric unit:
1 Zr 0.0000 0.0000 0.0000
2 Te 0.0000 0.0000 0.5000
3 H 0.5000 0.5000 0.5000
4 N 0.0000 0.5000 0.0000



#x
Density functional theory data (PBE-GGA) for an optimized crystal structure of ZrTeHN2.

**Calculated volume**: 11.91 A^3/atom
**DOS(E_F)**: 3.02 states/eV/cell
**Total magnetization**: 0.0 μB/f.u.

Lattice parameters (Å, degrees): 4.2244 4.2244 3.3364 90.00 90.00 90.00
Space group P4/mmm (No. 123)
Asymmetric unit:
1 Zr 0.0000 0.0000 0.0000
2 Te 0.5000 0.5000 0.0000
3 H 0.5000 0.5000 0.5000
4 N 0.0000 0.5000 0.5000



The structure shown above that is least stable: #x.